1.
## Er8Zr (PBE-GGA)

Data for crystalline Er8Zr at its relaxed geometry.

Unit cell a=3.5512 b=8.8762 c=8.8762 alpha=87.71 beta=78.46 gamma=78.46
Last column: nearest neighbours and their distance in Å.
Fractional positions:
Er1 0.0000 0.3340 0.6660  10 Er 3.39-3.55
Er2 0.3340 0.6660 0.6660  10 Er 3.39-3.55
Er3 0.3415 0.0000 0.3170  2 Zr 3.28, 8 Er 3.41-3.65
Er4 0.6660 0.3340 0.3340  10 Er 3.39-3.55
Er5 0.0000 0.6660 0.3340  10 Er 3.39-3.55
Er6 0.3415 0.3170 0.0000  2 Zr 3.28, 8 Er 3.41-3.65
Er7 0.6585 0.6830 0.0000  2 Zr 3.28, 8 Er 3.41-3.65
Er8 0.6585 0.0000 0.6830  2 Zr 3.28, 8 Er 3.41-3.65
Zr1 0.0000 0.0000 0.0000  8 Er 3.28, 2 Zr 3.55

Calculated values
* SG: No. 139
* energy relative to the lowest polymorph listed for this composition: 107 meV per atom

***

2.
## ErZr11 (PBE-GGA)

Data for crystalline ErZr11 at its relaxed geometry.

Unit cell a=3.1718 b=10.2040 c=10.2040 alpha=120.00 beta=90.00 gamma=90.00
Last column: nearest neighbours and their distance in Å.
Fractional positions:
Zr1 0.0000 0.6667 0.3333  11 Zr 2.95-3.23
Zr2 0.5000 0.1743 0.3485  10 Zr 3.08-3.29
Zr3 0.5000 0.8257 0.6515  10 Zr 3.08-3.29
Zr4 0.0000 0.5000 0.0000  12 Zr 2.95-3.29
Zr5 0.5000 0.3485 0.1743  10 Zr 3.08-3.29
Zr6 0.0000 0.3333 0.6667  11 Zr 2.95-3.23
Zr7 0.0000 0.0000 0.5000  12 Zr 2.95-3.29
Zr8 0.0000 0.5000 0.5000  12 Zr 2.95-3.29
Zr9 0.5000 0.8257 0.1743  10 Zr 3.08-3.29
Zr10 0.5000 0.6515 0.8257  10 Zr 3.08-3.29
Zr11 0.5000 0.1743 0.8257  10 Zr 3.08-3.29
Er1 0.0000 0.0000 0.0000  2 Er 3.17, 12 Zr 3.46

Calculated values
* SG: No. 191
* calculated total energy: -8.172 eV per atom

***

3.
## Er5Zr (PBE-GGA)

Data for crystalline Er5Zr at its relaxed geometry.

Unit cell a=3.4446 b=6.5657 c=9.3367 alpha=119.26 beta=90.00 gamma=105.21
Last column: nearest neighbours and their distance in Å.
Fractional positions:
Er1 0.9969 0.9938 0.0085  9 Er 3.21-3.56, 3 Zr 3.41-3.42
Er2 0.0053 0.0107 0.3581  9 Er 3.18-3.56, 2 Zr 3.32
Er3 0.2641 0.5282 0.6922  8 Er 3.18-3.44, 1 Zr 3.24
Er4 0.7445 0.4891 0.3441  9 Er 3.24-3.57, 2 Zr 3.47
Er5 0.5412 0.0825 0.7137  9 Er 3.40-3.56, 2 Zr 3.52
Zr1 0.2813 0.5625 0.0500  10 Er 3.24-3.52, 2 Zr 3.44

Calculated values
* SG: No. 8
* energy relative to the lowest polymorph listed for this composition: 15 meV per atom

***

4.
## Er8Zr (PBE-GGA)

Data for crystalline Er8Zr at its relaxed geometry.

Unit cell a=4.8734 b=7.7700 c=7.7700 alpha=84.36 beta=71.72 gamma=71.72
Last column: nearest neighbours and their distance in Å.
Fractional positions:
Er1 0.6611 0.6779 0.0000  10 Er 3.36-3.58, 2 Zr 3.40
Er2 0.6611 0.0000 0.6779  10 Er 3.36-3.58, 2 Zr 3.40
Er3 0.3389 0.0000 0.3221  10 Er 3.36-3.58, 2 Zr 3.40
Er4 0.3389 0.3221 0.0000  10 Er 3.36-3.58, 2 Zr 3.40
Er5 0.6726 0.3274 0.3274  1 Zr 3.42, 11 Er 3.43-3.60
Er6 0.0000 0.6726 0.3274  1 Zr 3.42, 11 Er 3.43-3.60
Er7 0.0000 0.3274 0.6726  1 Zr 3.42, 11 Er 3.43-3.60
Er8 0.3274 0.6726 0.6726  1 Zr 3.42, 11 Er 3.43-3.60
Zr1 0.0000 0.0000 0.0000  12 Er 3.40-3.42

Calculated values
* SG: No. 139
* energy relative to the lowest polymorph listed for this composition: 0 meV per atom

***

5.
## Er5Zr (PBE-GGA)

Data for crystalline Er5Zr at its relaxed geometry.

Unit cell a=4.8932 b=4.8650 c=7.6931 alpha=108.43 beta=90.00 gamma=90.00
Last column: nearest neighbours and their distance in Å.
Fractional positions:
Er1 0.0000 0.6604 0.3207  2 Zr 3.38, 10 Er 3.39-3.58
Er2 0.5000 0.5000 0.0000  8 Er 3.38-3.39, 4 Zr 3.45
Er3 0.5000 0.1609 0.3218  10 Er 3.38-3.58, 2 Zr 3.39
Er4 0.5000 0.8391 0.6782  10 Er 3.38-3.58, 2 Zr 3.39
Er5 0.0000 0.3396 0.6793  2 Zr 3.38, 10 Er 3.39-3.58
Zr1 0.0000 0.0000 0.0000  12 Er 3.38-3.45

Calculated values
* SG: No. 65
* energy relative to the lowest polymorph listed for this composition: 0 meV per atom

***

6.
## Er2Zr (PBE-GGA)

Data for crystalline Er2Zr at its relaxed geometry.

Unit cell a=3.4213 b=3.4255 c=8.4496 alpha=90.00 beta=78.29 gamma=59.96
Last column: nearest neighbours and their distance in Å.
Fractional positions:
Er1 0.0740 0.2046 0.6743  3 Zr 3.27-3.28, 9 Er 3.42-3.59
Er2 0.9817 0.7505 0.3101  3 Zr 3.27-3.28, 9 Er 3.42-3.59
Zr1 0.5279 0.9776 0.9922  6 Er 3.27-3.28, 6 Zr 3.42-3.43

Calculated values
* SG: No. 12
* energy relative to the lowest polymorph listed for this composition: 0 meV per atom

***

7.
## EuF3 (PBE-GGA)

Data for crystalline EuF3 at its relaxed geometry.

Unit cell a=4.4900 b=6.6696 c=7.1252 alpha=90.00 beta=90.00 gamma=90.00
Last column: nearest neighbours and their distance in Å.
Fractional positions:
F1 0.5821 0.5202 0.2500  3 Eu 2.36-2.58
F2 0.3854 0.1637 0.0651  3 Eu 2.38-2.40, 3 F 2.59-2.66
F3 0.4179 0.4798 0.7500  3 Eu 2.36-2.58
F4 0.3854 0.1637 0.4349  3 Eu 2.38-2.40, 3 F 2.59-2.66
F5 0.8854 0.3363 0.5651  3 Eu 2.38-2.40, 3 F 2.59-2.66
F6 0.1146 0.6637 0.0651  3 Eu 2.38-2.40, 3 F 2.59-2.66
F7 0.6146 0.8363 0.5651  3 Eu 2.38-2.40, 3 F 2.59-2.66
F8 0.8854 0.3363 0.9349  3 Eu 2.38-2.40, 3 F 2.59-2.66
F9 0.9179 0.0202 0.2500  3 Eu 2.36-2.58
F10 0.1146 0.6637 0.4349  3 Eu 2.38-2.40, 3 F 2.59-2.66
F11 0.0821 0.9798 0.7500  3 Eu 2.36-2.58
F12 0.6146 0.8363 0.9349  3 Eu 2.38-2.40, 3 F 2.59-2.66
Eu1 0.9442 0.6346 0.7500  9 F 2.36-2.58
Eu2 0.4442 0.8654 0.2500  9 F 2.36-2.58
Eu3 0.0558 0.3654 0.2500  9 F 2.36-2.58
Eu4 0.5558 0.1346 0.7500  9 F 2.36-2.58

Calculated values
* formation energy (no corrections): -3.49 eV/atom
* SG: No. 62

***

8.
## EuF (PBE-GGA)

Data for crystalline EuF at its relaxed geometry.

Unit cell a=4.1417 b=4.1414 c=7.6379 alpha=90.00 beta=90.00 gamma=60.06
Last column: nearest neighbours and their distance in Å.
Fractional positions:
Eu1 0.6689 0.6634 0.7500  3 F 2.39
Eu2 0.3311 0.3366 0.2500  3 F 2.39
F1 0.0026 0.9968 0.7500  3 Eu 2.39
F2 0.9974 0.0032 0.2500  3 Eu 2.39

Calculated values
* formation energy (no corrections): -2.62 eV/atom
* SG: No. 11
* energy relative to the lowest polymorph listed for this composition: 0 meV per atom